Record 1
First-principles (PBE) data for an optimized crystal structure of ZnOs2, as listed in OQMD.

a = 11.076 Å, b = 11.076 Å, c = 11.076 Å
α = 90.00°, β = 90.00°, γ = 90.00°
Space group Fd-3m (No. 227, origin choice 2)
Symmetry-distinct sites (fractional):
1 Zn 0.125 0.125 0.125
2 Os 0.000 0.000 0.000

Results
- Energy relative to the elements: 4.266 eV/atom
- Distance to the lowest polymorph of the same formula: 81.407 kcal/mol of atoms



Record 2
First-principles (PBE) data for an optimized crystal structure of ZnOs2, as listed in OQMD.

a = 7.281 Å, b = 7.281 Å, c = 7.281 Å
α = 90.00°, β = 90.00°, γ = 90.00°
Space group Fd-3m (No. 227, origin choice 2)
Symmetry-distinct sites (fractional):
1 Zn 0.125 0.125 0.125
2 Os 0.000 0.000 0.500

Results
- Energy relative to the elements: 0.736 eV/atom
- Distance to the lowest polymorph of the same formula: 0.000 kcal/mol of atoms



Record 3
First-principles (PBE) data for an optimized crystal structure of ZnOs2, as listed in OQMD.

a = 5.749 Å, b = 5.749 Å, c = 5.749 Å
α = 90.00°, β = 90.00°, γ = 90.00°
Space group Fm-3m (No. 225)
Symmetry-distinct sites (fractional):
1 Zn 0.000 0.000 0.000
2 Os 0.250 0.250 0.250

Results
- Energy relative to the elements: 1.261 eV/atom
- Distance to the lowest polymorph of the same formula: 12.113 kcal/mol of atoms



Record 4
First-principles (PBE) data for an optimized crystal structure of ZrZnOs2, as listed in OQMD.

a = 6.361 Å, b = 6.361 Å, c = 6.361 Å
α = 90.00°, β = 90.00°, γ = 90.00°
Space group F-43m (No. 216)
Symmetry-distinct sites (fractional):
1 Zr 0.000 0.000 0.000
2 Zn 0.250 0.250 0.750
3 Os 0.000 0.000 0.500
4 Os 0.250 0.250 0.250

Results
- Energy relative to the elements: 0.178 eV/atom



Record 5
First-principles (PBE) data for an optimized crystal structure of Zr2Os, as listed in OQMD.

a = 6.439 Å, b = 6.439 Å, c = 6.439 Å
α = 90.00°, β = 90.00°, γ = 90.00°
Space group Fm-3m (No. 225)
Symmetry-distinct sites (fractional):
1 Zr 0.250 0.250 0.250
2 Os 0.000 0.000 0.000

Results
- Energy relative to the elements: -0.214 eV/atom



Record 6
First-principles (PBE) data for an optimized crystal structure of Zr11Os4, as listed in OQMD.

a = 13.487 Å, b = 13.487 Å, c = 13.487 Å
α = 90.00°, β = 90.00°, γ = 90.00°
Space group Fm-3m (No. 225)
Symmetry-distinct sites (fractional):
1 Zr 0.000 0.000 0.201
2 Zr 0.117 0.117 0.383
3 Zr 0.163 0.163 0.163
4 Os 0.000 0.000 0.000
5 Os 0.000 0.000 0.500
6 Os 0.000 0.250 0.250

Results
- Energy relative to the elements: -0.292 eV/atom



Record 7
First-principles (PBE) data for an optimized crystal structure of Zr2Os, as listed in OQMD.

a = 5.4949 Å, b = 5.4949 Å, c = 4.4892 Å
α = 90.00°, β = 90.00°, γ = 120.00°
Space group P-62m (No. 189)
Symmetry-distinct sites (fractional):
1 Zr 0.0000 0.0000 0.0000
2 Zr 0.0000 0.6150 0.5000
3 Os 0.3333 0.6667 0.0000

Results
- Energy relative to the elements: 0.064 eV/atom



Record 8
First-principles (PBE) data for an optimized crystal structure of Zr2Os, as listed in OQMD.

a = 4.585 Å, b = 9.379 Å, c = 5.594 Å
α = 90.00°, β = 90.00°, γ = 90.00°
Space group Pmmn (No. 59, origin choice 2)
Symmetry-distinct sites (fractional):
1 Zr 0.250 0.052 0.169
2 Zr 0.250 0.250 0.640
3 Zr 0.250 0.750 0.993
4 Os 0.250 0.608 0.570

Results
- Energy relative to the elements: -0.084 eV/atom



Record 9
First-principles (PBE) data for an optimized crystal structure of ZrOs2, as listed in OQMD.

a = 6.168 Å, b = 6.168 Å, c = 6.168 Å
α = 90.00°, β = 90.00°, γ = 90.00°
Space group Fm-3m (No. 225)
Symmetry-distinct sites (fractional):
1 Zr 0.000 0.000 0.000
2 Os 0.250 0.250 0.250

Results
- Energy relative to the elements: 0.943 eV/atom



Record 10
First-principles (PBE) data for an optimized crystal structure of Zr2Os, as listed in OQMD.

a = 3.316 Å, b = 14.476 Å, c = 4.804 Å
α = 90.00°, β = 90.00°, γ = 90.00°
Space group Cmcm (No. 63)
Symmetry-distinct sites (fractional):
1 Zr 0.000 0.077 0.250
2 Zr 0.000 0.235 0.750
3 Os 0.000 0.420 0.250

Results
- Energy relative to the elements: -0.358 eV/atom



Record 11
First-principles (PBE) data for an optimized crystal structure of Zr2Os, as listed in OQMD.

a = 7.734 Å, b = 7.734 Å, c = 7.734 Å
α = 90.00°, β = 90.00°, γ = 90.00°
Space group Fd-3m (No. 227, origin choice 2)
Symmetry-distinct sites (fractional):
1 Zr 0.000 0.000 0.000
2 Os 0.125 0.125 0.625

Results
- Energy relative to the elements: 0.727 eV/atom



Record 12
First-principles (PBE) data for an optimized crystal structure of Zr2Os, as listed in OQMD.

a = 11.345 Å, b = 11.345 Å, c = 11.345 Å
α = 90.00°, β = 90.00°, γ = 90.00°
Space group Fd-3m (No. 227, origin choice 2)
Symmetry-distinct sites (fractional):
1 Zr 0.000 0.000 0.000
2 Os 0.125 0.125 0.125

Results
- Energy relative to the elements: 2.074 eV/atom